(1)
CsLa2PtO5 | PBE-GGA | relaxed

Properties
* formation energy from raw total energies: -2.09 eV per atom
* total magnetization: 0.11 μB per atom
* DFT total energy: -6.7071 eV/atom

Unit cell a=7.037 b=7.037 c=12.379 alpha=90.00 beta=90.00 gamma=90.00
Space group I4/mcm (No. 140)
Symmetry-distinct sites (fractional):
Cs: 0.000 0.000 0.250 x4
La: 0.180 0.320 0.000 x8
Pt: 0.000 0.500 0.250 x4
O: 0.000 0.000 0.000 x4
O: 0.125 0.375 0.382 x16

***

(2)
Cs4LaPu3O12 | PBE-GGA | relaxed

Properties
* formation energy from raw total energies: -2.48 eV per atom
* total magnetization: 0.35 μB per atom
* DFT total energy: -8.0251 eV/atom

Unit cell a=8.880 b=8.880 c=8.880 alpha=90.00 beta=90.00 gamma=90.00
Space group Im-3m (No. 229)
Symmetry-distinct sites (fractional):
Cs: 0.250 0.250 0.250 x8
La: 0.000 0.000 0.000 x2
Pu: 0.000 0.000 0.500 x6
O: 0.000 0.000 0.275 x12
O: 0.000 0.250 0.500 x12

***

(3)
Cs3LaPu2O9 | PBE-GGA | relaxed

Properties
* formation energy from raw total energies: -2.47 eV per atom
* total magnetization: 0.27 μB per atom
* DFT total energy: -7.8528 eV/atom

Unit cell a=6.3010 b=6.3010 c=7.7336 alpha=90.00 beta=90.00 gamma=120.00
Space group P-3m1 (No. 164)
Symmetry-distinct sites (fractional):
Cs: 0.0000 0.0000 0.0000 x1
Cs: 0.3333 0.6667 0.6625 x2
La: 0.0000 0.0000 0.5000 x1
Pu: 0.3333 0.6667 0.1572 x2
O: 0.0000 0.5000 0.0000 x3
O: 0.1816 0.3632 0.3118 x6

***

(4)
Cs2LaPuO6 | PBE-GGA | relaxed

Properties
* formation energy from raw total energies: -2.49 eV per atom
* total magnetization: 0.10 μB per atom
* DFT total energy: -7.5664 eV/atom

Unit cell a=9.003 b=9.003 c=9.003 alpha=90.00 beta=90.00 gamma=90.00
Space group Fm-3m (No. 225)
Symmetry-distinct sites (fractional):
Cs: 0.250 0.250 0.250 x8
La: 0.000 0.000 0.000 x4
Pu: 0.000 0.000 0.500 x4
O: 0.000 0.000 0.273 x24